(1)
Crystalline LaPr3Tl2 at its relaxed geometry, computed with PBE.

Properties
The energy relative to the elements is -0.279 eV/atom. Its calculated volume is 32.52 Å³/atom. The calculation puts the energy above the most stable polymorph in this dataset at 0 meV per atom. As for the total magnetic moment: 0.00 μB per formula unit.

Cell lengths 5.3319, 10.5099, 6.9632 Å; angles 90.00, 90.00, 90.00 degrees
Closest atoms and distances in Å follow each position.
Space group Pmc2_1 (No. 26)
Inequivalent atoms, fractional coordinates:
La: 0.0000 0.0470 0.0000 [2 per cell]  5 Tl 3.38-3.66, 2 Pr 3.53, 2 La 3.62
Pr: 0.0000 0.3154 0.6210 [2 per cell]  5 Tl 3.33-3.71, 2 Pr 3.57
Pr: 0.5000 0.1860 0.2587 [2 per cell]  5 Tl 3.34-3.70, 2 La 3.53
Pr: 0.5000 0.4552 0.8882 [2 per cell]  5 Tl 3.35-3.66, 4 Pr 3.57-3.61
Tl: 0.0000 0.3672 0.1488 [2 per cell]  9 Pr 3.33-3.71, 1 La 3.52
Tl: 0.5000 0.1356 0.7323 [2 per cell]  6 Pr 3.34-3.70, 4 La 3.38-3.66



(2)
Crystalline MnSb2As at its relaxed geometry, computed with PBE.

Properties
The raw formation energy is 0.117 eV per atom. Its calculated volume is 21.70 Å³/atom. As for the total magnetic moment: 2.46 μB per formula unit.

Cell lengths 3.2942, 3.2942, 8.0007 Å; angles 90.00, 90.00, 90.00 degrees
Closest atoms and distances in Å follow each position.
Space group P4mm (No. 99)
Inequivalent atoms, fractional coordinates:
Mn: 0.0000 0.0000 0.0000 [1 per cell]  4 As 2.54
Sb: 0.0000 0.0000 0.6167 [1 per cell]  1 Mn 3.07, 4 As 3.10, 4 Sb 3.29
Sb: 0.5000 0.5000 0.2367 [1 per cell]  1 As 2.91, 4 Mn 3.00
As: 0.5000 0.5000 0.8727 [1 per cell]  4 Mn 2.54



(3)
Crystalline Al3AgAu6 at its relaxed geometry, computed with PBE.

Properties
The energy relative to the elements is -0.217 eV/atom. Its calculated volume is 18.38 Å³/atom. The calculation puts the energy above the most stable polymorph in this dataset at 41 meV per atom. As for the total magnetic moment: 0.00 μB per formula unit.

Cell lengths 9.1987, 12.0694, 6.6216 Å; angles 90.00, 90.00, 90.00 degrees
Closest atoms and distances in Å follow each position.
Space group Cmc2_1 (No. 36)
Inequivalent atoms, fractional coordinates:
Al: 0.0000 0.0791 0.0000 [4 per cell]  7 Au 2.57-2.69
Al: 0.1628 0.3815 0.8949 [8 per cell]  7 Au 2.56-2.79
Ag: 0.0000 0.3005 0.2572 [4 per cell]  7 Au 2.93-3.05, 3 Al 2.99-3.17
Au: 0.0000 0.2255 0.6958 [4 per cell]  3 Al 2.68-2.74, 4 Au 2.81-2.89
Au: 0.0000 0.4716 0.5796 [4 per cell]  4 Al 2.62-2.79
Au: 0.1878 0.0337 0.7005 [8 per cell]  4 Al 2.57-2.69
Au: 0.2374 0.1931 0.0373 [8 per cell]  3 Al 2.56-2.69, 1 Au 2.81



Q: The lowest calculated volume belongs to which entry?
A: Al3AgAu6



Q: Among the records above, which one has the highest total magnetic moment?
A: MnSb2As



Q: Look up the calculated volume of the second one.
A: 21.70 Å³/atom